No. 1
DyZnCuSi2 | Alexandria | PBE-GGA | relaxed; SG = I-4m2, No. 119; DOS(E_F) = 0.35 states/eV per atom; ΔE_f (raw) = -0.461 eV/atom
1.0
4.014 0.000 0.000
0.000 4.014 0.000
-2.007 -2.007 5.128
Si Dy Zn Cu
2 1 1 1
Direct
0.613 0.613 0.227
0.387 0.387 0.773
0.000 0.000 0.000
0.250 0.750 0.500
0.750 0.250 0.500

---

No. 2
Dy2ZnCu4Si3 | Alexandria | PBE-GGA | relaxed; SG = P-4m2, No. 115; DOS(E_F) = 0.39 states/eV per atom; ΔE_f (raw) = -0.508 eV/atom
1.0
-2.400 -1.738 2.674
3.027 -0.187 2.596
-2.535 9.052 3.607
Cu Zn Dy Si
4 1 2 3
Direct
0.500 0.500 0.000
0.000 0.000 0.000
0.000 0.500 0.362
0.500 0.000 0.638
0.500 0.500 0.500
0.000 0.500 0.757
0.500 0.000 0.243
0.000 0.500 0.133
0.500 0.000 0.867
0.000 0.000 0.500

---

No. 3
Dy2Zn3Cu12Si | Alexandria | PBE-GGA | relaxed; SG = R-3m, No. 166; DOS(E_F) = 0.46 states/eV per atom; ΔE_f (raw) = 0.078 eV/atom
1.0
9.176 1.771 1.256
6.071 7.104 1.256
6.071 3.534 6.290
Cu Si Zn Dy
12 1 3 2
Direct
0.809 0.420 0.420
0.638 0.080 0.080
0.580 0.191 0.580
0.080 0.638 0.080
0.362 0.920 0.920
0.920 0.920 0.362
0.420 0.809 0.420
0.420 0.420 0.809
0.920 0.362 0.920
0.191 0.580 0.580
0.080 0.080 0.638
0.580 0.580 0.191
0.000 0.000 0.000
0.000 0.500 0.000
0.000 0.000 0.500
0.500 0.000 0.000
0.649 0.649 0.649
0.351 0.351 0.351

---

No. 4
SmDy2Cu2 | Alexandria | PBE-GGA | relaxed; E above lowest polymorph = 0 meV per atom; SG = P2_1/m, No. 11; calculated formation energy = -148 meV per atom; DOS(E_F) = 0.84 states/eV per atom
1.0
-0.617 -0.010 3.479
-4.400 -2.492 -0.787
6.550 -11.352 -0.664
Dy Cu Sm
4 4 2
Direct
0.769 0.250 0.539
0.047 0.750 0.094
0.231 0.750 0.461
0.953 0.250 0.906
0.543 0.250 0.087
0.360 0.250 0.719
0.640 0.750 0.281
0.457 0.750 0.913
0.141 0.250 0.283
0.859 0.750 0.717

---

No. 5
SmDyCu | Alexandria | PBE-GGA | relaxed; E above lowest polymorph = 7 meV per atom; SG = C2/m, No. 12; calculated formation energy = -130 meV per atom; DOS(E_F) = 1.01 states/eV per atom
1.0
3.766 0.000 0.000
-1.883 6.266 -0.745
0.000 -4.083 7.056
Sm Dy Cu
2 2 2
Direct
0.403 0.805 0.117
0.597 0.195 0.883
0.159 0.318 0.563
0.841 0.682 0.437
0.123 0.247 0.177
0.877 0.753 0.823

---

No. 6
SmDy3Cu2 | Alexandria | PBE-GGA | relaxed; E above lowest polymorph = 181 meV per atom; SG = Ibam, No. 72; calculated formation energy = 28 meV per atom; DOS(E_F) = 1.28 states/eV per atom
1.0
6.839 0.000 0.000
0.000 7.181 0.000
-3.420 -3.591 6.738
Sm Dy Cu
2 6 4
Direct
0.000 0.500 0.000
0.000 0.000 0.000
0.236 0.486 0.472
0.500 0.250 0.000
0.764 0.514 0.528
0.764 0.014 0.528
0.500 0.750 0.000
0.236 0.986 0.472
0.150 0.857 0.715
0.565 0.357 0.715
0.850 0.143 0.285
0.435 0.643 0.285

---

No. 7
SmDyCu | Alexandria | PBE-GGA | relaxed; E above lowest polymorph = 220 meV per atom; SG = F-43m, No. 216; calculated formation energy = 83 meV per atom; DOS(E_F) = 1.55 states/eV per atom
1.0
-0.315 4.777 1.007
-3.793 1.713 2.571
0.665 1.583 4.581
Cu Dy Sm
1 1 1
Direct
0.250 0.250 0.250
0.000 0.000 0.000
0.500 0.500 0.500

---

No. 8
Sm2DyCu | Alexandria | PBE-GGA | relaxed; E above lowest polymorph = 129 meV per atom; SG = R-3m, No. 166; calculated formation energy = 51 meV per atom; DOS(E_F) = 0.99 states/eV per atom
1.0
-1.719 2.891 1.338
-2.679 -0.435 2.395
5.187 1.290 8.772
Sm Dy Cu
2 1 1
Direct
0.264 0.264 0.208
0.736 0.736 0.792
0.500 0.500 0.500
0.000 0.000 0.000

---

- What is the DOS(E_F) in the second record?
  0.39 states/eV per atom